A plane-wave DFT calculation with PBE-GGA was carried out for Mn5Fe2H2 after structural relaxation.

Unit cell a=3.6204 b=4.4038 c=5.6256 alpha=97.99 beta=90.00 gamma=114.27
Closest atoms and distances in Å follow each position.
Sites, in units of the cell vectors:
H1 0.7739 0.5479 0.8527  1 Fe 1.76, 5 Mn 1.82-1.88
Fe1 0.5649 0.1298 0.7037  1 H 1.76
H2 0.2261 0.4521 0.1473  1 Fe 1.76, 5 Mn 1.82-1.88
Mn1 0.8631 0.7262 0.5651  1 H 1.87
Mn2 0.7103 0.4207 0.1558  3 H 1.82-1.85
Mn3 0.0000 0.0000 0.0000  2 H 1.88
Fe2 0.4351 0.8702 0.2963  1 H 1.76
Mn4 0.2897 0.5793 0.8442  3 H 1.82-1.85
Mn5 0.1369 0.2738 0.4349  1 H 1.87

Summary:
Final energy in eV per atom: -7.679